Density functional theory data (GGA-PBE) for a geometry-optimized ScRuO2 structure.

POSCAR file:
```
ScRuO2
1.0
-2.351 2.351 4.910
2.351 -2.351 4.910
2.351 2.351 -4.910
Sc Ru O
2 2 4
Direct
0.000 0.000 0.000 Sc
0.750 0.250 0.500 Sc
0.250 0.750 0.500 Ru
0.500 0.500 0.000 Ru
0.106 0.625 0.981 O
0.375 0.356 0.481 O
0.644 0.125 0.019 O
0.875 0.894 0.519 O
```

V   54.3 Å³/f.u.
E   -7.91 eV/atom